(1)
A crystal of BeInIr2 relaxed with PBEsol, computed with SCAN.

Unit cell a=2.935 b=4.232 c=5.224 alpha=113.89 beta=106.32 gamma=90.00
Atoms (fractional coordinates):
1 Ir 0.012 0.012 0.024
2 Ir 0.784 0.284 0.568
3 Be 0.478 0.478 0.956
4 In 0.225 0.725 0.451

Output
total energy = -44.9701 eV/atom
E_form = 0.014 eV per atom
crystal system = orthorhombic
magnetization = 0.0 μB/cell

(2)
A crystal of BeIn2Ir relaxed with PBEsol, computed with SCAN.

Unit cell a=4.076 b=4.076 c=4.827 alpha=114.98 beta=114.98 gamma=90.00
Atoms (fractional coordinates):
1 Ir 0.000 0.000 0.000
2 Be 0.500 0.500 0.000
3 In 0.250 0.750 0.500
4 In 0.750 0.250 0.500

Output
total energy = -35.4623 eV/atom
E_form = 0.094 eV per atom
crystal system = tetragonal
magnetization = 0.0 μB/cell

(3)
A crystal of BeInIr4 relaxed with PBEsol, computed with SCAN.

Unit cell a=5.136 b=5.136 c=5.136 alpha=60.00 beta=60.00 gamma=60.00
Atoms (fractional coordinates):
1 Ir 0.126 0.625 0.625
2 Ir 0.625 0.126 0.625
3 In 0.000 0.000 0.000
4 Ir 0.625 0.625 0.126
5 Be 0.250 0.250 0.250
6 Ir 0.625 0.625 0.625

Output
total energy = -53.2801 eV/atom
E_form = 0.409 eV per atom
crystal system = cubic
magnetization = 0.0 μB/cell

(4)
A crystal of BeInIr2 relaxed with PBEsol, computed with SCAN.

Unit cell a=2.828 b=4.142 c=5.156 alpha=90.00 beta=105.96 gamma=90.00
Atoms (fractional coordinates):
1 Ir 0.954 0.000 0.035
2 Ir 0.575 0.500 0.276
3 In 0.308 0.500 0.741
4 Be 0.662 0.000 0.447

Output
total energy = -45.0134 eV/atom
E_form = -0.029 eV per atom
crystal system = orthorhombic
magnetization = 0.0 μB/cell

(5)
A crystal of Be2InIrO relaxed with PBEsol, computed with SCAN.

Unit cell a=3.634 b=3.634 c=4.614 alpha=90.00 beta=90.00 gamma=90.00
Atoms (fractional coordinates):
1 Be 0.000 0.500 0.000
2 Be 0.500 0.000 0.000
3 O 0.000 0.000 0.000
4 Ir 0.500 0.500 0.500
5 In 0.000 0.000 0.500

Output
total energy = -24.3272 eV/atom
energy relative to the elements, uncorrected = -442 meV per atom
crystal system = tetragonal
magnetization = 0.0 μB/cell

(6)
A crystal of TaBeInIr2 relaxed with PBEsol, computed with SCAN.

Unit cell a=4.755 b=4.755 c=4.928 alpha=90.00 beta=90.00 gamma=90.00
Each line ends with the local moment (μB).
Atoms (fractional coordinates):
1 In 0.000 0.000 0.000  0.03
2 Ir 0.500 0.000 0.000  0.32
3 Ta 0.000 0.000 0.500  1.02
4 Be 0.500 0.500 0.500  0.02
5 Ir 0.000 0.500 0.000  0.32

Output
total energy = -46.7469 eV/atom
E_form = 2.557 eV per atom
crystal system = tetragonal
magnetization = 2.2 μB/cell

(7)
A crystal of K2BeIn relaxed with PBEsol, computed with SCAN.

Unit cell a=5.735 b=5.735 c=5.735 alpha=60.00 beta=60.00 gamma=60.00
Atoms (fractional coordinates):
1 K 0.750 0.750 0.750
2 In 0.500 0.500 0.500
3 Be 0.000 0.000 0.000
4 K 0.250 0.250 0.250

Output
polymorph energy (0 for the lowest one) = 1.64 eV/f.u.
total energy = -12.9756 eV/atom
E_form = 0.624 eV per atom
crystal system = cubic
magnetization = 0.0 μB/cell

(8)
A crystal of KBeIn relaxed with PBEsol, computed with SCAN.

Unit cell a=3.569 b=3.569 c=6.658 alpha=105.55 beta=105.55 gamma=90.00
Atoms (fractional coordinates):
1 K 0.333 0.333 0.666
2 In 0.609 0.609 0.219
3 Be 0.057 0.057 0.115

Output
total energy = -14.9724 eV/atom
E_form = 0.384 eV per atom
crystal system = tetragonal
magnetization = 0.0 μB/cell

(9)
A crystal of K3BeIn relaxed with PBEsol, computed with SCAN.

Unit cell a=6.175 b=6.175 c=6.175 alpha=90.00 beta=90.00 gamma=90.00
Atoms (fractional coordinates):
1 K 0.000 0.500 0.000
2 Be 0.000 0.000 0.000
3 K 0.000 0.000 0.500
4 K 0.500 0.000 0.000
5 In 0.500 0.500 0.500

Output
total energy = -11.9148 eV/atom
E_form = 0.630 eV per atom
crystal system = cubic
magnetization = 0.0 μB/cell

(10)
A crystal of K2BeIn relaxed with PBEsol, computed with SCAN.

Unit cell a=3.711 b=3.711 c=10.152 alpha=90.00 beta=90.00 gamma=98.32
Atoms (fractional coordinates):
1 In 0.500 0.500 0.342
2 K 0.500 0.500 0.675
3 K 0.000 0.000 0.076
4 Be 0.000 0.000 0.406

Output
polymorph energy (0 for the lowest one) = 0.48 eV/f.u.
total energy = -13.2665 eV/atom
E_form = 0.333 eV per atom
crystal system = orthorhombic
magnetization = 0.0 μB/cell

(11)
A crystal of K2BeIn relaxed with PBEsol, computed with SCAN.

Unit cell a=4.673 b=4.673 c=6.453 alpha=111.23 beta=111.23 gamma=90.00
Each line ends with the local moment (μB).
Atoms (fractional coordinates):
1 K 0.250 0.750 0.500  0.01
2 In 0.500 0.500 0.000  0.10
3 Be 0.000 0.000 0.000  -0.03
4 K 0.750 0.250 0.500  0.01

Output
polymorph energy (0 for the lowest one) = 1.49 eV/f.u.
total energy = -13.0144 eV/atom
E_form = 0.585 eV per atom
crystal system = tetragonal
magnetization = 0.2 μB/cell

(12)
A crystal of K2BeIn relaxed with PBEsol, computed with SCAN.

Unit cell a=4.149 b=4.508 c=9.534 alpha=102.63 beta=90.00 gamma=117.39
Atoms (fractional coordinates):
1 In 0.790 0.581 0.375
2 K 0.039 0.078 0.107
3 K 0.197 0.394 0.643
4 Be 0.474 0.947 0.375

Output
polymorph energy (0 for the lowest one) = 0.00 eV/f.u.
total energy = -13.3866 eV/atom
E_form = 0.213 eV per atom
crystal system = monoclinic
magnetization = 0.0 μB/cell

(13)
A crystal of K2BeIn relaxed with PBEsol, computed with SCAN.

Unit cell a=3.676 b=3.676 c=10.114 alpha=90.00 beta=90.00 gamma=90.00
Atoms (fractional coordinates):
1 In 0.500 0.500 0.657
2 K 0.500 0.500 0.324
3 K 0.000 0.000 0.923
4 Be 0.000 0.000 0.595

Output
polymorph energy (0 for the lowest one) = 0.51 eV/f.u.
total energy = -13.2595 eV/atom
E_form = 0.340 eV per atom
crystal system = tetragonal
magnetization = 0.0 μB/cell

(14)
A crystal of KZr2BeIn relaxed with PBEsol, computed with SCAN.

Unit cell a=4.541 b=5.477 c=5.477 alpha=90.00 beta=90.00 gamma=90.00
Atoms (fractional coordinates):
1 K 0.500 0.500 0.500
2 In 0.000 0.000 0.000
3 Zr 0.000 0.500 0.000
4 Be 0.500 0.000 0.000
5 Zr 0.000 0.000 0.500

Output
total energy = -20.4033 eV/atom
E_form = 1.090 eV per atom
crystal system = tetragonal
magnetization = 0.0 μB/cell

(15)
A crystal of LaBeIn relaxed with PBEsol, computed with SCAN.

Unit cell a=3.955 b=4.523 c=4.523 alpha=120.00 beta=90.00 gamma=90.00
Atoms (fractional coordinates):
1 In 0.000 0.333 0.667
2 La 0.500 0.667 0.333
3 Be 0.000 0.000 0.000

Output
polymorph energy (0 for the lowest one) = 0.00 eV/f.u.
total energy = -27.2402 eV/atom
E_form = -0.292 eV per atom
crystal system = hexagonal
magnetization = 0.0 μB/cell